i:
Computed, not measured: a geometry-optimized LaSm8Tm2 structure at the GGA-PBE level of DFT.

Geometry as CIF:
```
data_LaSm8Tm2
_chemical_formula_sum 'La1 Sm8 Tm2'
_cell_length_a 5.613
_cell_length_b 10.351
_cell_length_c 10.351
_cell_angle_alpha 39.80
_cell_angle_beta 92.98
_cell_angle_gamma 92.98
_space_group_name_H-M_alt 'P 1'
_space_group_IT_number 1
_space_group_name_Hall 'P 1'
loop_
_atom_site_label
_atom_site_fract_x
_atom_site_fract_y
_atom_site_fract_z
La1 0.000 0.000 0.000
Sm1 0.268 0.134 0.596
Sm2 0.268 0.596 0.134
Sm3 0.732 0.866 0.404
Sm4 0.239 0.545 0.545
Sm5 0.732 0.404 0.866
Sm6 0.233 0.189 0.189
Sm7 0.767 0.811 0.811
Sm8 0.761 0.455 0.455
Tm1 0.748 0.285 0.285
Tm2 0.252 0.715 0.715
```

space group = C2/m

ii:
Computed, not measured: a geometry-optimized LaSm8Tm2 structure at the GGA-PBE level of DFT.

Geometry as CIF:
```
data_LaSm8Tm2
_chemical_formula_sum 'La1 Sm8 Tm2'
_cell_length_a 5.630
_cell_length_b 8.301
_cell_length_c 9.425
_cell_angle_alpha 116.13
_cell_angle_beta 107.38
_cell_angle_gamma 90.00
_space_group_name_H-M_alt 'P 1'
_space_group_IT_number 1
_space_group_name_Hall 'P 1'
loop_
_atom_site_label
_atom_site_fract_x
_atom_site_fract_y
_atom_site_fract_z
La1 0.500 0.000 0.000
Sm1 0.640 0.844 0.280
Sm2 0.360 0.564 0.720
Sm3 0.164 0.164 0.328
Sm4 0.000 0.296 0.000
Sm5 0.836 0.836 0.672
Sm6 0.640 0.436 0.280
Sm7 0.360 0.156 0.720
Sm8 0.000 0.704 0.000
Tm1 0.200 0.700 0.399
Tm2 0.800 0.300 0.601
```

space group = Immm

Quick look at relative energies in meV/atom: i 19; ii 0.

i:
Computed, not measured: a geometry-optimized La2Sm12Tm5 structure at the GGA-PBE level of DFT.

Geometry as CIF:
```
data_La2Sm12Tm5
_chemical_formula_sum 'La2 Sm12 Tm5'
_cell_length_a 9.346
_cell_length_b 11.582
_cell_length_c 6.549
_cell_angle_alpha 89.40
_cell_angle_beta 90.00
_cell_angle_gamma 113.80
_space_group_name_H-M_alt 'P 1'
_space_group_IT_number 1
_space_group_name_Hall 'P 1'
loop_
_atom_site_label
_atom_site_fract_x
_atom_site_fract_y
_atom_site_fract_z
La1 0.800 0.000 0.000
La2 0.200 0.000 0.000
Sm1 0.138 0.277 0.082
Sm2 0.123 0.587 0.830
Sm3 0.464 0.587 0.830
Sm4 0.050 0.728 0.402
Sm5 0.678 0.728 0.402
Sm6 0.440 0.879 0.655
Sm7 0.560 0.121 0.345
Sm8 0.950 0.272 0.598
Sm9 0.322 0.272 0.598
Sm10 0.877 0.413 0.170
Sm11 0.536 0.413 0.170
Sm12 0.862 0.723 0.918
Tm1 0.264 0.527 0.359
Tm2 0.404 0.809 0.147
Tm3 0.000 0.000 0.500
Tm4 0.596 0.191 0.853
Tm5 0.736 0.473 0.641
```

space group = C2/m

ii:
Computed, not measured: a geometry-optimized La2Sm12Tm5 structure at the GGA-PBE level of DFT.

Geometry as CIF:
```
data_La2Sm12Tm5
_chemical_formula_sum 'La2 Sm12 Tm5'
_cell_length_a 9.339
_cell_length_b 12.572
_cell_length_c 8.656
_cell_angle_alpha 132.87
_cell_angle_beta 90.00
_cell_angle_gamma 111.80
_space_group_name_H-M_alt 'P 1'
_space_group_IT_number 1
_space_group_name_Hall 'P 1'
loop_
_atom_site_label
_atom_site_fract_x
_atom_site_fract_y
_atom_site_fract_z
La1 0.680 0.000 0.000
La2 0.320 0.000 0.000
Sm1 0.093 0.185 0.304
Sm2 0.023 0.686 0.926
Sm3 0.663 0.686 0.926
Sm4 0.183 0.750 0.406
Sm5 0.567 0.750 0.406
Sm6 0.565 0.129 0.797
Sm7 0.435 0.871 0.203
Sm8 0.817 0.250 0.594
Sm9 0.433 0.250 0.594
Sm10 0.977 0.314 0.074
Sm11 0.337 0.314 0.074
Sm12 0.907 0.815 0.696
Tm1 0.302 0.603 0.617
Tm2 0.230 0.461 0.888
Tm3 0.000 0.000 0.500
Tm4 0.770 0.539 0.112
Tm5 0.698 0.397 0.383
```

space group = C2/m

Quick look at relative energies in meV/atom: i 7; ii 0.

i:
Computed, not measured: a geometry-optimized LaSm6Tm2 structure at the GGA-PBE level of DFT.

Geometry as CIF:
```
data_LaSm6Tm2
_chemical_formula_sum 'La1 Sm6 Tm2'
_cell_length_a 3.622
_cell_length_b 8.837
_cell_length_c 12.962
_cell_angle_alpha 132.50
_cell_angle_beta 81.94
_cell_angle_gamma 90.04
_space_group_name_H-M_alt 'P 1'
_space_group_IT_number 1
_space_group_name_Hall 'P 1'
loop_
_atom_site_label
_atom_site_fract_x
_atom_site_fract_y
_atom_site_fract_z
La1 0.000 0.000 0.000
Sm1 0.890 0.556 0.220
Sm2 0.110 0.444 0.780
Sm3 0.668 0.664 0.665
Sm4 0.779 0.106 0.442
Sm5 0.221 0.894 0.558
Sm6 0.332 0.336 0.335
Tm1 0.444 0.775 0.111
Tm2 0.556 0.225 0.889
```

space group = C2/m

ii:
Computed, not measured: a geometry-optimized LaSm6Tm2 structure at the GGA-PBE level of DFT.

Geometry as CIF:
```
data_LaSm6Tm2
_chemical_formula_sum 'La1 Sm6 Tm2'
_cell_length_a 6.129
_cell_length_b 7.513
_cell_length_c 7.513
_cell_angle_alpha 59.99
_cell_angle_beta 90.00
_cell_angle_gamma 90.00
_space_group_name_H-M_alt 'P 1'
_space_group_IT_number 1
_space_group_name_Hall 'P 1'
loop_
_atom_site_label
_atom_site_fract_x
_atom_site_fract_y
_atom_site_fract_z
La1 0.000 0.000 0.000
Sm1 0.291 0.374 0.813
Sm2 0.291 0.813 0.813
Sm3 0.291 0.813 0.374
Sm4 0.709 0.626 0.187
Sm5 0.709 0.187 0.187
Sm6 0.709 0.187 0.626
Tm1 0.781 0.667 0.667
Tm2 0.219 0.333 0.333
```

space group = P-3m1

Quick look at relative energies in meV/atom: i 0; ii 180.